Record 1
This record from Alexandria via LeMat-Bulk describes a relaxed structure of Sm2Ge3AsRh4. The functional is PBE.

Cell: 4.272 4.272 10.033 Å, 90.00 90.00 90.00°
Space group P-4m2 (No. 115)
Asymmetric unit:
Sm 0.000 0.500 0.242 x2
Ge 0.000 0.000 0.000 x1
Ge 0.000 0.500 0.630 x2
As 0.500 0.500 0.000 x1
Rh 0.000 0.000 0.500 x1
Rh 0.000 0.500 0.874 x2
Rh 0.500 0.500 0.500 x1

Calculated values
Its total energy is -66.15 eV per formula unit. As for the formation energy: -0.880 eV/atom.

---

Record 2
This record from Alexandria via LeMat-Bulk describes a relaxed structure of Sm2GeAsRh6. The functional is PBE.

Cell: 5.458 8.660 8.064 Å, 90.00 90.00 90.00°
Space group Pmmn (No. 59, origin choice 2)
Asymmetric unit:
Sm 0.250 0.010 0.216 x4
Ge 0.250 0.750 0.763 x2
As 0.250 0.250 0.747 x2
Rh 0.001 0.750 0.509 x4
Rh 0.004 0.750 0.013 x4
Rh 0.250 0.001 0.591 x4

Calculated values
Its total energy is -68.55 eV per formula unit. As for the formation energy: -0.574 eV/atom.

---

Record 3
This record from Alexandria via LeMat-Bulk describes a relaxed structure of Sr2GeAs3Rh4. The functional is PBE.

Cell: 4.296 4.296 10.331 Å, 90.00 90.00 90.00°
Space group P-4m2 (No. 115)
Asymmetric unit:
Sr 0.000 0.500 0.244 x2
Ge 0.500 0.500 0.000 x1
As 0.000 0.000 0.000 x1
As 0.000 0.500 0.633 x2
Rh 0.000 0.000 0.500 x1
Rh 0.000 0.500 0.876 x2
Rh 0.500 0.500 0.500 x1

Calculated values
Its total energy is -58.95 eV per formula unit. As for the formation energy: -0.762 eV/atom.

---

Record 4
This record from Alexandria via LeMat-Bulk describes a relaxed structure of SrGeAsRh3. The functional is PBE.

Cell: 5.837 14.810 5.846 Å, 90.00 90.00 90.00°
Space group Cmcm (No. 63)
Asymmetric unit:
Sr 0.000 0.225 0.250 x4
Ge 0.000 0.092 0.750 x4
As 0.000 0.413 0.750 x4
Rh 0.000 0.253 0.750 x4
Rh 0.250 0.000 0.000 x8

Calculated values
Its total energy is -36.34 eV per formula unit. As for the formation energy: -0.556 eV/atom.

---

Record 5
This record from Alexandria via LeMat-Bulk describes a relaxed structure of Tb3GeAs2Rh8. The functional is PBE.

Cell: 5.4288 5.4288 9.5562 Å, 90.00 90.00 120.00°
Space group P-3m1 (No. 164)
Asymmetric unit:
Tb 0.0000 0.0000 0.0000 x1
Tb 0.3333 0.6667 0.5594 x2
Ge 0.0000 0.0000 0.5000 x1
As 0.3333 0.6667 0.0908 x2
Rh 0.1638 0.3277 0.2829 x6
Rh 0.3333 0.6667 0.8430 x2

Calculated values
Its total energy is -95.72 eV per formula unit. As for the formation energy: -0.650 eV/atom.

---

Record 6
This record from Alexandria via LeMat-Bulk describes a relaxed structure of Tb3GeAs2Rh9. The functional is PBE.

Cell: 6.3075 6.3075 8.7125 Å, 90.00 90.00 120.00°
Space group P-3m1 (No. 164)
Asymmetric unit:
Tb 0.0000 0.0000 0.0000 x1
Tb 0.3333 0.6667 0.7224 x2
Ge 0.0000 0.0000 0.5000 x1
As 0.3333 0.6667 0.1794 x2
Rh 0.0000 0.5000 0.0000 x3
Rh 0.1415 0.2830 0.2808 x6

Calculated values
Its total energy is -100.99 eV per formula unit. As for the formation energy: -0.468 eV/atom.

---

Record 7
This record from Alexandria via LeMat-Bulk describes a relaxed structure of Tb2GeAs3Rh4. The functional is PBE.

Cell: 4.181 4.181 10.242 Å, 90.00 90.00 90.00°
Space group P-4m2 (No. 115)
Asymmetric unit:
Tb 0.000 0.500 0.250 x2
Ge 0.000 0.000 0.500 x1
As 0.000 0.500 0.863 x2
As 0.500 0.500 0.500 x1
Rh 0.000 0.000 0.000 x1
Rh 0.000 0.500 0.629 x2
Rh 0.500 0.500 0.000 x1

Calculated values
Its total energy is -66.10 eV per formula unit. As for the formation energy: -0.887 eV/atom.

---

Record 8
This record from Alexandria via LeMat-Bulk describes a relaxed structure of TbGeAsRh3. The functional is PBE.

Cell: 5.603 15.328 5.603 Å, 90.00 90.00 90.00°
Space group Cmcm (No. 63)
Asymmetric unit:
Tb 0.000 0.197 0.250 x4
Ge 0.000 0.405 0.750 x4
As 0.000 0.091 0.750 x4
Rh 0.000 0.247 0.750 x4
Rh 0.250 0.000 0.000 x8

Calculated values
Its total energy is -39.84 eV per formula unit. As for the formation energy: -0.648 eV/atom.

---

Record 9
This record from Alexandria via LeMat-Bulk describes a relaxed structure of TcGeAsRh. The functional is PBE.

Cell: 6.182 6.182 6.182 Å, 90.00 90.00 90.00°
Space group F-43m (No. 216)
Asymmetric unit:
Tc 0.000 0.000 0.000 x4
Ge 0.250 0.250 0.750 x4
As 0.250 0.250 0.250 x4
Rh 0.000 0.000 0.500 x4

Calculated values
Its total energy is -27.49 eV per formula unit. As for the formation energy: -0.127 eV/atom.

---

Record 10
This record from Alexandria via LeMat-Bulk describes a relaxed structure of Th2Ge3AsRh4. The functional is PBE.

Cell: 4.292 4.292 10.055 Å, 90.00 90.00 90.00°
Space group P-4m2 (No. 115)
Asymmetric unit:
Th 0.000 0.500 0.249 x2
Ge 0.000 0.000 0.000 x1
Ge 0.000 0.500 0.633 x2
As 0.500 0.500 0.000 x1
Rh 0.000 0.000 0.500 x1
Rh 0.000 0.500 0.877 x2
Rh 0.500 0.500 0.500 x1

Calculated values
Its total energy is -71.82 eV per formula unit. As for the formation energy: -0.907 eV/atom.

---

Record 11
This record from Alexandria via LeMat-Bulk describes a relaxed structure of Th2GeAsRh6. The functional is PBE.

Cell: 5.550 8.607 8.021 Å, 90.00 90.00 90.00°
Space group Pmmn (No. 59, origin choice 2)
Asymmetric unit:
Th 0.250 0.007 0.231 x4
Ge 0.250 0.750 0.762 x2
As 0.250 0.250 0.749 x2
Rh 0.001 0.250 0.493 x4
Rh 0.005 0.750 0.011 x4
Rh 0.250 0.000 0.601 x4

Calculated values
Its total energy is -75.46 eV per formula unit. As for the formation energy: -0.725 eV/atom.

---

Record 12
This record from Alexandria via LeMat-Bulk describes a relaxed structure of TmGeAsRh3. The functional is PBE.

Cell: 5.557 15.373 5.561 Å, 90.00 90.00 90.00°
Space group Cmcm (No. 63)
Asymmetric unit:
Tm 0.000 0.196 0.250 x4
Ge 0.000 0.404 0.750 x4
As 0.000 0.092 0.750 x4
Rh 0.000 0.247 0.750 x4
Rh 0.250 0.000 0.000 x8

Calculated values
Its total energy is -39.56 eV per formula unit. As for the formation energy: -0.628 eV/atom.